1.
# Pm14YTl PBE optimized geometry
# VASP energy   -151.4 eV for the cell shown
data_Pm14YTl
_cell_length_a 10.2587
_cell_length_b 10.1948
_cell_length_c 10.1968
_cell_angle_alpha 90.00
_cell_angle_beta 90.00
_cell_angle_gamma 90.00
_symmetry_space_group_name_H-M 'A m m 2'
_symmetry_Int_Tables_number 38
loop_
_symmetry_equiv_pos_as_xyz
'x,y,z'
'-x,-y,z'
'-x,y,z'
'x,-y,z'
'x,y+1/2,z+1/2'
'-x,-y+1/2,z+1/2'
'-x,y+1/2,z+1/2'
'x,-y+1/2,z+1/2'
loop_
_atom_site_label
_atom_site_fract_x
_atom_site_fract_y
_atom_site_fract_z
_atom_site_occupancy
Pm1 0.0000 0.0000 0.9996 1
Pm2 0.0000 0.0000 0.5000 1
Pm3 0.0000 0.2503 0.2498 1
Pm4 0.2532 0.0000 0.2487 1
Pm5 0.2542 0.0000 0.7507 1
Pm6 0.2538 0.2488 0.9997 1
Pm7 0.5000 0.2495 0.2493 1
Y1 0.5000 0.0000 0.4995 1
Tl1 0.5000 0.0000 0.9995 1

2.
# Tl2InTePd PBE optimized geometry
# Energy relative to the elements, uncorrected   -0.19 eV per atom
# VASP energy   -16.7 eV for the cell shown
data_Tl2InTePd
_cell_length_a 5.3857
_cell_length_b 5.3857
_cell_length_c 5.2806
_cell_angle_alpha 90.00
_cell_angle_beta 90.00
_cell_angle_gamma 90.00
_symmetry_space_group_name_H-M 'P 4/m m m'
_symmetry_Int_Tables_number 123
_symmetry_space_group_name_Hall '-P 4 2'
loop_
_atom_site_label
_atom_site_fract_x
_atom_site_fract_y
_atom_site_fract_z
_atom_site_occupancy
Tl1 0.0000 0.5000 0.0000 1
In1 0.0000 0.0000 0.5000 1
Te1 0.5000 0.5000 0.5000 1
Pd1 0.0000 0.0000 0.0000 1

3.
# HfSi3N PBE optimized geometry
# Offset from the most stable computed form   1584.9 meV per atom
# Energy relative to the elements, uncorrected   1.80 eV per atom
# VASP energy   -25.6 eV for the cell shown
data_HfSi3N
_cell_length_a 5.0934
_cell_length_b 5.0934
_cell_length_c 5.0934
_cell_angle_alpha 90.00
_cell_angle_beta 90.00
_cell_angle_gamma 90.00
_symmetry_space_group_name_H-M 'P m -3 m'
_symmetry_Int_Tables_number 221
_symmetry_space_group_name_Hall '-P 4 2 3'
loop_
_atom_site_label
_atom_site_fract_x
_atom_site_fract_y
_atom_site_fract_z
_atom_site_occupancy
Hf1 0.0000 0.0000 0.0000 1
Si1 0.0000 0.0000 0.5000 1
N1 0.5000 0.5000 0.5000 1